La3PmSm2Te6: relaxed, PBE.

The structure belongs to space group C2/m (No. 12); the cell edges are 19.6562, 4.5079 and 9.0572 Å and the angles 90.00°, 103.12° and 90.00°. The asymmetric unit holds La at (0.0000, 0.0000, 0.0000), La at (0.1662, 0.5000, 0.3330), Pm at (0.0000, 0.0000, 0.5000), Sm at (0.1665, 0.5000, 0.8329), Te at (0.0022, 0.5000, 0.7462), Te at (0.1653, 0.0000, 0.5886) and Te at (0.1688, 0.0000, 0.0781).

For the formation energy (no corrections), the calculation gives -17.97 eV per formula unit.